DFT (PBE) results for a geometry-optimized BaMgBr2 structure.

Geometry as POSCAR:
```
BaMgBr2
1.0
2.831 0.000 11.474
-1.415 2.451 11.474
-1.415 -2.451 11.474
Br Ba Mg
2 1 1
Direct
0.880 0.880 0.880 Br
0.120 0.120 0.120 Br
0.500 0.500 0.500 Ba
0.000 0.000 0.000 Mg
```

- Uncorrected formation energy: -5.06 eV per formula unit
- Symmetry: R-3m
- DOS at the Fermi energy: 0.00 states/eV/cell
- Calculated volume: 59.712 A^3/atom
- Size of the total moment: 0.000 μB per cell

DFT (PBE) results for a geometry-optimized BaMg2Br structure.

Geometry as POSCAR:
```
BaMg2Br
1.0
-0.756 1.209 3.499
-3.352 -0.854 -1.520
0.812 -9.107 3.322
Ba Mg Br
1 2 1
Direct
0.500 0.500 0.250 Ba
0.000 0.000 0.540 Mg
0.000 0.000 0.960 Mg
0.500 0.500 0.750 Br
```

- Uncorrected formation energy: -1.24 eV per formula unit
- Symmetry: Cmmm
- DOS at the Fermi energy: 2.68 states/eV/cell
- Calculated volume: 33.459 A^3/atom
- Size of the total moment: 0.000 μB per cell

DFT (PBE) results for a geometry-optimized BaMgBr2 structure.

Geometry as POSCAR:
```
BaMgBr2
1.0
2.441 0.000 9.811
-1.220 2.114 9.811
-1.220 -2.114 9.811
Br Ba Mg
2 1 1
Direct
0.882 0.882 0.882 Br
0.118 0.118 0.118 Br
0.000 0.000 0.000 Ba
0.500 0.500 0.500 Mg
```

- Uncorrected formation energy: -3.83 eV per formula unit
- Symmetry: R-3m
- DOS at the Fermi energy: 2.67 states/eV/cell
- Calculated volume: 37.967 A^3/atom
- Size of the total moment: 0.000 μB per cell

DFT (PBE) results for a geometry-optimized BaMg2Br structure.

Geometry as POSCAR:
```
BaMg2Br
1.0
9.644 0.000 0.000
0.000 9.644 0.000
4.822 4.822 3.189
Ba Mg Br
2 4 2
Direct
0.750 0.250 0.500 Ba
0.000 0.000 0.000 Ba
0.375 0.414 0.750 Mg
0.875 0.836 0.750 Mg
0.586 0.125 0.250 Mg
0.164 0.625 0.250 Mg
0.250 0.750 0.500 Br
0.500 0.500 0.000 Br
```

- Uncorrected formation energy: -1.63 eV per formula unit
- Symmetry: I-42d
- DOS at the Fermi energy: 5.74 states/eV/cell
- Calculated volume: 37.078 A^3/atom
- Size of the total moment: 0.000 μB per cell

no.,mass density (g/cm³),polymorph energy (0 for the lowest one) (meV per atom)
1,2.23,2.6
2,3.30,238.8
3,3.51,310.7
4,2.98,140.6